Sc2Be15Al2 | PBE | optimized geometry

Cell and atoms, written as CIF:
```
data_Sc2Be15Al2
_space_group_name_H-M_alt 'P 1'
_space_group_IT_number 1
_space_group_name_Hall 'P 1'
_cell_length_a 5.841
_cell_length_b 5.841
_cell_length_c 5.841
_cell_angle_alpha 82.94
_cell_angle_beta 82.94
_cell_angle_gamma 82.94
loop_
_atom_site_label
_atom_site_fract_x
_atom_site_fract_y
_atom_site_fract_z
Sc1 0.345 0.345 0.345
Sc2 0.655 0.655 0.655
Be1 0.500 0.000 0.000
Be2 0.000 0.000 0.500
Be3 0.000 0.500 0.000
Be4 0.000 0.702 0.298
Be5 0.702 0.298 0.000
Be6 0.298 0.000 0.702
Be7 0.298 0.702 0.000
Be8 0.702 0.000 0.298
Be9 0.000 0.298 0.702
Be10 0.165 0.653 0.653
Be11 0.653 0.653 0.165
Be12 0.653 0.165 0.653
Be13 0.835 0.347 0.347
Be14 0.347 0.347 0.835
Be15 0.347 0.835 0.347
Al1 0.106 0.106 0.106
Al2 0.894 0.894 0.894
```

Summary:
For the total energy, the calculation gives -4.152 eV/atom. The total moment is 0.00 μB/atom. The value obtained for the formation energy from the elements is -0.15 eV/atom.